SbRuPb2: PBEsol geometry, meta-GGA SCAN.

Calculated values
Final energy: -55.24 eV/atom
DOS at the Fermi energy: 7.07 states/eV per cell
Uncorrected formation energy: 668 meV per atom

Structure (CIF):
```
data_SbRuPb2
_chemical_formula_sum 'Sb2 Ru2 Pb4'
_cell_length_a 5.886
_cell_length_b 10.680
_cell_length_c 3.459
_cell_angle_alpha 90.00
_cell_angle_beta 121.89
_cell_angle_gamma 90.00
_space_group_name_H-M_alt 'C 1 2/m 1'
_space_group_IT_number 12
loop_
_space_group_symop_operation_xyz
'x,y,z'
'-x,-y,-z'
'-x,y,-z'
'x,-y,z'
'x+1/2,y+1/2,z'
'-x+1/2,-y+1/2,-z'
'-x+1/2,y+1/2,-z'
'x+1/2,-y+1/2,z'
loop_
_atom_site_label
_atom_site_fract_x
_atom_site_fract_y
_atom_site_fract_z
Sb1 0.000 0.000 0.000
Ru1 0.000 0.500 0.000
Pb1 0.250 0.250 0.500
```

***

MgBeAu2: PBEsol geometry, meta-GGA SCAN.

Calculated values
E_form: -516 meV/atom
Final energy: -37.43 eV/atom
DOS at the Fermi energy: 0.96 states/eV per cell
Offset from the most stable computed form: 0.0000 eV per atom

Structure (CIF):
```
data_MgBeAu2
_chemical_formula_sum 'Mg1 Be1 Au2'
_cell_length_a 2.981
_cell_length_b 2.981
_cell_length_c 6.674
_cell_angle_alpha 90.00
_cell_angle_beta 90.00
_cell_angle_gamma 90.00
_space_group_name_H-M_alt 'P 4/m m m'
_space_group_IT_number 123
_space_group_name_Hall '-P 4 2'
loop_
_atom_site_label
_atom_site_fract_x
_atom_site_fract_y
_atom_site_fract_z
Mg1 0.000 0.000 0.000
Be1 0.000 0.000 0.500
Au1 0.500 0.500 0.289
```

***

Mn2TeOs: PBEsol geometry, meta-GGA SCAN.

Calculated values
Final energy: -36.21 eV/atom
DOS at the Fermi energy: 2.69 states/eV per cell
Uncorrected formation energy: 203 meV per atom

Structure (CIF):
```
data_Mn2TeOs
_chemical_formula_sum 'Mn2 Te1 Os1'
_cell_length_a 3.785
_cell_length_b 3.785
_cell_length_c 3.967
_cell_angle_alpha 90.00
_cell_angle_beta 90.00
_cell_angle_gamma 90.00
_space_group_name_H-M_alt 'P 4/m m m'
_space_group_IT_number 123
_space_group_name_Hall '-P 4 2'
loop_
_atom_site_label
_atom_site_fract_x
_atom_site_fract_y
_atom_site_fract_z
Mn1 0.000 0.500 0.000
Te1 0.000 0.000 0.500
Os1 0.500 0.500 0.500
```

***

CuSb: PBEsol geometry, meta-GGA SCAN.

Calculated values
Final energy: -25.92 eV/atom
DOS at the Fermi energy: 4.58 states/eV per cell
Uncorrected formation energy: 308 meV per atom

Structure (CIF):
```
data_CuSb
_chemical_formula_sum 'Cu4 Sb4'
_cell_length_a 5.754
_cell_length_b 5.754
_cell_length_c 5.754
_cell_angle_alpha 90.00
_cell_angle_beta 90.00
_cell_angle_gamma 90.00
_space_group_name_H-M_alt 'F -4 3 m'
_space_group_IT_number 216
_space_group_name_Hall 'F -4 2 3'
loop_
_atom_site_label
_atom_site_fract_x
_atom_site_fract_y
_atom_site_fract_z
Cu1 0.000 0.000 0.000
Sb1 0.250 0.250 0.250
```

***

InCoAg2: PBEsol geometry, meta-GGA SCAN.

Calculated values
E_form: 314 meV/atom
Final energy: -28.04 eV/atom
DOS at the Fermi energy: 3.70 states/eV per cell

Structure (CIF):
```
data_InCoAg2
_chemical_formula_sum 'In2 Co2 Ag4'
_cell_length_a 5.485
_cell_length_b 8.238
_cell_length_c 2.862
_cell_angle_alpha 90.00
_cell_angle_beta 90.00
_cell_angle_gamma 90.00
_space_group_name_H-M_alt 'C m m m'
_space_group_IT_number 65
_space_group_name_Hall '-C 2 2'
loop_
_atom_site_label
_atom_site_fract_x
_atom_site_fract_y
_atom_site_fract_z
In1 0.000 0.000 0.000
Co1 0.000 0.500 0.000
Ag1 0.250 0.250 0.500
```

***

BeReNO2: PBEsol geometry, meta-GGA SCAN.

Calculated values
Final energy: -19.44 eV/atom
DOS at the Fermi energy: 1.89 states/eV per cell
Uncorrected formation energy: 1 meV per atom

Structure (CIF):
```
data_BeReNO2
_chemical_formula_sum 'Be1 Re1 N1 O2'
_cell_length_a 3.240
_cell_length_b 3.240
_cell_length_c 3.699
_cell_angle_alpha 90.00
_cell_angle_beta 90.00
_cell_angle_gamma 90.00
_space_group_name_H-M_alt 'P 4/m m m'
_space_group_IT_number 123
_space_group_name_Hall '-P 4 2'
loop_
_atom_site_label
_atom_site_fract_x
_atom_site_fract_y
_atom_site_fract_z
Be1 0.000 0.000 0.000
Re1 0.500 0.500 0.500
N1 0.000 0.000 0.500
O1 0.000 0.500 0.000
```

***

Ho3Er: PBEsol geometry, meta-GGA SCAN.

Calculated values
E_form: 23 meV/atom
Final energy: -49.30 eV/atom
DOS at the Fermi energy: 9.44 states/eV per cell
Offset from the most stable computed form: 0.0171 eV per atom

Structure (CIF):
```
data_Ho3Er
_chemical_formula_sum 'Ho6 Er2'
_cell_length_a 4.860
_cell_length_b 4.860
_cell_length_c 9.729
_cell_angle_alpha 90.00
_cell_angle_beta 90.00
_cell_angle_gamma 90.00
_space_group_name_H-M_alt 'I 4/m m m'
_space_group_IT_number 139
_space_group_name_Hall '-I 4 2'
loop_
_atom_site_label
_atom_site_fract_x
_atom_site_fract_y
_atom_site_fract_z
Ho1 0.000 0.000 0.000
Ho2 0.000 0.500 0.250
Er1 0.000 0.000 0.500
```

***

CuRe2Te: PBEsol geometry, meta-GGA SCAN.

Calculated values
Final energy: -47.83 eV/atom
DOS at the Fermi energy: 2.52 states/eV per cell
Uncorrected formation energy: 835 meV per atom

Structure (CIF):
```
data_CuRe2Te
_chemical_formula_sum 'Cu1 Re2 Te1'
_cell_length_a 4.345
_cell_length_b 4.345
_cell_length_c 3.184
_cell_angle_alpha 90.00
_cell_angle_beta 90.00
_cell_angle_gamma 90.00
_space_group_name_H-M_alt 'P 4/m m m'
_space_group_IT_number 123
_space_group_name_Hall '-P 4 2'
loop_
_atom_site_label
_atom_site_fract_x
_atom_site_fract_y
_atom_site_fract_z
Cu1 0.000 0.000 0.000
Re1 0.000 0.500 0.500
Te1 0.500 0.500 0.000
```

***

- What is the final energy in the eighth record?
  -47.83 eV/atom